# 1
{
  "formula": "Ac2PrHoBi4",
  "functional": "GGA-PBE",
  "state": "optimized geometry",
  "lattice_angstrom": [[-2.685, 2.702, -2.790], [-6.698, -3.712, 2.851], [-2.763, 4.022, 6.554]],
  "species": ["Ac", "Ac", "Pr", "Ho", "Bi", "Bi", "Bi", "Bi"],
  "fractional_positions": [[0.000, 0.000, 0.000], [0.500, 0.000, 0.500], [0.500, 0.500, 0.000], [0.000, 0.500, 0.500], [0.000, 0.733, 0.750], [0.000, 0.267, 0.250], [0.500, 0.730, 0.262], [0.500, 0.270, 0.738]],
  "m_tot_mub_per_fu": 0.000,
  "delta_e_f_ev_per_atom": -0.9330,
  "density_g_cm3": 8.9
}

---

# 2
{
  "formula": "SrTaIn2",
  "functional": "GGA-PBE",
  "state": "optimized geometry",
  "lattice_angstrom": [[-4.123, -2.946, -2.225], [-1.108, -2.193, 4.958], [-2.022, 2.377, 0.599]],
  "species": ["In", "In", "Sr", "Ta"],
  "fractional_positions": [[0.000, 0.000, 0.000], [0.500, 0.500, 0.000], [0.500, 0.000, 0.500], [0.000, 0.500, 0.500]],
  "m_tot_mub_per_fu": 0.000,
  "delta_e_f_ev_per_atom": 0.3481,
  "density_g_cm3": 8.5
}

---

# 3
{
  "formula": "As2IrPb",
  "functional": "GGA-PBE",
  "state": "optimized geometry",
  "lattice_angstrom": [[6.166, 0.000, 0.000], [0.000, 6.166, 0.000], [3.083, 3.083, 5.784]],
  "species": ["Pb", "Pb", "As", "As", "As", "As", "Ir", "Ir"],
  "fractional_positions": [[0.000, 0.000, 0.000], [0.750, 0.250, 0.500], [0.553, 0.125, 0.250], [0.197, 0.625, 0.250], [0.375, 0.447, 0.750], [0.875, 0.803, 0.750], [0.500, 0.500, 0.000], [0.250, 0.750, 0.500]],
  "m_tot_mub_per_fu": 0.000,
  "delta_e_f_ev_per_atom": 0.0443,
  "density_g_cm3": 8.3,
  "relative_energy_ev_per_fu": 0.40
}

---

# 4
{
  "formula": "CdReBr2",
  "functional": "GGA-PBE",
  "state": "optimized geometry",
  "lattice_angstrom": [[-0.390, 8.619, -1.156], [-2.569, -1.220, -8.228], [-4.155, 3.691, -3.855]],
  "species": ["Re", "Re", "Br", "Br", "Br", "Br", "Cd", "Cd"],
  "fractional_positions": [[0.000, 0.000, 0.000], [0.750, 0.250, 0.500], [0.759, 0.125, 0.250], [0.991, 0.625, 0.250], [0.375, 0.241, 0.750], [0.875, 0.009, 0.750], [0.500, 0.500, 0.000], [0.250, 0.750, 0.500]],
  "m_tot_mub_per_fu": 0.000,
  "density_g_cm3": 7.2,
  "formation_energy_uncorrected_mev_per_atom": 500,
  "relative_energy_ev_per_fu": 0.98
}

---

# 5
{
  "formula": "CoMo2Pt",
  "functional": "GGA-PBE",
  "state": "optimized geometry",
  "lattice_angstrom": [[-2.742, 2.889, 4.473], [0.724, -4.738, 0.303], [1.424, 0.360, 2.257]],
  "species": ["Mo", "Mo", "Co", "Pt"],
  "fractional_positions": [[0.000, 0.000, 0.000], [0.500, 0.000, 0.500], [0.500, 0.500, 0.000], [0.000, 0.500, 0.500]],
  "m_tot_mub_per_fu": 0.000,
  "delta_e_f_ev_per_atom": -0.0901,
  "density_g_cm3": 12.9,
  "relative_energy_ev_per_fu": 0.19
}

---

# 6
{
  "formula": "Tb3PmHg7",
  "functional": "GGA-PBE",
  "state": "optimized geometry",
  "lattice_angstrom": [[3.593, 0.000, 0.000], [-1.796, 15.587, 0.000], [0.000, 0.000, 12.970]],
  "species": ["Tb", "Tb", "Tb", "Tb", "Tb", "Tb", "Pm", "Pm", "Hg", "Hg", "Hg", "Hg", "Hg", "Hg", "Hg", "Hg", "Hg", "Hg", "Hg", "Hg", "Hg", "Hg"],
  "fractional_positions": [[0.070, 0.140, 0.451], [0.930, 0.860, 0.549], [0.190, 0.381, 0.750], [0.810, 0.619, 0.250], [0.070, 0.140, 0.049], [0.930, 0.860, 0.951], [0.928, 0.855, 0.250], [0.072, 0.145, 0.750], [0.428, 0.856, 0.750], [0.572, 0.144, 0.250], [0.488, 0.976, 0.388], [0.512, 0.024, 0.612], [0.512, 0.024, 0.888], [0.488, 0.976, 0.112], [0.369, 0.737, 0.406], [0.631, 0.263, 0.594], [0.267, 0.535, 0.419], [0.733, 0.465, 0.581], [0.733, 0.465, 0.919], [0.267, 0.535, 0.081], [0.369, 0.737, 0.094], [0.631, 0.263, 0.906]],
  "m_tot_mub_per_fu": 0.000,
  "delta_e_f_ev_per_atom": -0.2076,
  "density_g_cm3": 9.3
}

---

# 7
{
  "formula": "Pr3Y2Se8",
  "functional": "GGA-PBE",
  "state": "optimized geometry",
  "lattice_angstrom": [[-5.822, -4.222, 0.368], [4.551, -6.528, -2.878], [1.396, 3.043, 7.746]],
  "species": ["Pr", "Pr", "Pr", "Y", "Y", "Se", "Se", "Se", "Se", "Se", "Se", "Se", "Se"],
  "fractional_positions": [[0.500, 0.000, 0.000], [0.000, 0.263, 0.000], [0.000, 0.737, 0.000], [0.342, 0.258, 0.516], [0.658, 0.742, 0.484], [0.889, 0.619, 0.238], [0.111, 0.381, 0.762], [0.934, 0.123, 0.246], [0.066, 0.877, 0.754], [0.582, 0.634, 0.743], [0.582, 0.109, 0.743], [0.418, 0.891, 0.257], [0.418, 0.366, 0.257]],
  "m_tot_mub_per_fu": 0.000,
  "density_g_cm3": 4.9,
  "formation_energy_uncorrected_mev_per_atom": -1663
}

---

# 8
{
  "formula": "Rb2Ni2C",
  "functional": "GGA-PBE",
  "state": "optimized geometry",
  "lattice_angstrom": [[-3.661, 5.231, -1.236], [-3.590, -1.266, 5.272], [-1.720, 3.721, 3.733]],
  "species": ["Ni", "Ni", "C", "Rb", "Rb"],
  "fractional_positions": [[0.720, 0.720, 0.560], [0.280, 0.280, 0.440], [0.000, 0.000, 0.000], [0.750, 0.250, 0.500], [0.250, 0.750, 0.500]],
  "m_tot_mub_per_fu": 0.000,
  "delta_e_f_ev_per_atom": 0.8826,
  "density_g_cm3": 3.8,
  "relative_energy_ev_per_fu": 0.00
}

---

# 9
{
  "formula": "HgBPtN2",
  "functional": "GGA-PBE",
  "state": "optimized geometry",
  "lattice_angstrom": [[-1.731, -3.468, -0.911], [4.643, -1.582, -2.805], [1.466, -1.608, 3.334]],
  "species": ["B", "Hg", "Pt", "N", "N"],
  "fractional_positions": [[0.500, 0.500, 0.500], [0.000, 0.000, 0.000], [0.000, 0.500, 0.000], [0.000, 0.000, 0.500], [0.500, 0.000, 0.000]],
  "m_tot_mub_per_fu": 2.888,
  "density_g_cm3": 8.1,
  "formation_energy_uncorrected_mev_per_atom": 2861
}

---

# 10
{
  "formula": "LiSiB",
  "functional": "GGA-PBE",
  "state": "optimized geometry",
  "lattice_angstrom": [[-1.833, 3.962, -0.647], [-0.618, 3.565, 2.526], [1.535, 4.137, -0.070]],
  "species": ["Si", "B", "Li"],
  "fractional_positions": [[0.007, 0.007, 0.007], [0.689, 0.689, 0.689], [0.491, 0.491, 0.491]],
  "m_tot_mub_per_fu": 0.000,
  "density_g_cm3": 1.9,
  "formation_energy_uncorrected_mev_per_atom": -122
}

---

# 11
{
  "formula": "Nd3ErIn3",
  "functional": "GGA-PBE",
  "state": "optimized geometry",
  "lattice_angstrom": [[9.514, 0.000, 0.000], [0.000, 9.514, 0.000], [0.000, 0.000, 9.514]],
  "species": ["Nd", "Nd", "Nd", "Nd", "Nd", "Nd", "Nd", "Nd", "Nd", "Nd", "Nd", "Nd", "Er", "Er", "Er", "Er", "In", "In", "In", "In", "In", "In", "In", "In", "In", "In", "In", "In"],
  "fractional_positions": [[0.832, 0.332, 0.168], [0.932, 0.932, 0.932], [0.822, 0.678, 0.322], [0.168, 0.832, 0.332], [0.178, 0.178, 0.178], [0.322, 0.822, 0.678], [0.068, 0.432, 0.568], [0.332, 0.168, 0.832], [0.678, 0.322, 0.822], [0.668, 0.668, 0.668], [0.568, 0.068, 0.432], [0.432, 0.568, 0.068], [0.078, 0.578, 0.922], [0.922, 0.078, 0.578], [0.422, 0.422, 0.422], [0.578, 0.922, 0.078], [0.757, 0.633, 0.993], [0.867, 0.007, 0.257], [0.993, 0.757, 0.633], [0.133, 0.507, 0.243], [0.243, 0.133, 0.507], [0.257, 0.867, 0.007], [0.007, 0.257, 0.867], [0.367, 0.493, 0.743], [0.507, 0.243, 0.133], [0.633, 0.993, 0.757], [0.743, 0.367, 0.493], [0.493, 0.743, 0.367]],
  "m_tot_mub_per_fu": 0.000,
  "delta_e_f_ev_per_atom": -0.3255,
  "density_g_cm3": 7.3,
  "relative_energy_ev_per_fu": 0.00
}

---

# 12
{
  "formula": "MgZrAl",
  "functional": "GGA-PBE",
  "state": "optimized geometry",
  "lattice_angstrom": [[4.644, 0.000, 0.000], [-2.322, 4.022, 0.000], [0.000, 0.000, 3.216]],
  "species": ["Al", "Mg", "Zr"],
  "fractional_positions": [[0.000, 0.000, 0.166], [0.333, 0.667, 0.167], [0.667, 0.333, 0.667]],
  "m_tot_mub_per_fu": 0.000,
  "delta_e_f_ev_per_atom": -0.1968,
  "density_g_cm3": 3.9
}

---

# 13
{
  "formula": "TbSmBeZn",
  "functional": "GGA-PBE",
  "state": "optimized geometry",
  "lattice_angstrom": [[5.003, 0.000, 0.000], [2.501, 4.332, 0.000], [2.501, 1.444, 4.085]],
  "species": ["Be", "Zn", "Tb", "Sm"],
  "fractional_positions": [[0.500, 0.500, 0.500], [0.000, 0.000, 0.000], [0.750, 0.750, 0.750], [0.250, 0.250, 0.250]],
  "m_tot_mub_per_fu": 0.001,
  "delta_e_f_ev_per_atom": -0.0767,
  "density_g_cm3": 7.2
}

---

# 14
{
  "formula": "Cs2ScTl",
  "functional": "GGA-PBE",
  "state": "optimized geometry",
  "lattice_angstrom": [[-7.227, 7.227, 2.803], [7.227, -7.227, 2.803], [7.227, 7.227, -2.803]],
  "species": ["Cs", "Cs", "Cs", "Cs", "Sc", "Sc", "Tl", "Tl"],
  "fractional_positions": [[0.037, 0.375, 0.162], [0.213, 0.875, 0.838], [0.125, 0.963, 0.338], [0.625, 0.787, 0.662], [0.500, 0.500, 0.000], [0.750, 0.250, 0.500], [0.000, 0.000, 0.000], [0.250, 0.750, 0.500]],
  "m_tot_mub_per_fu": 0.402,
  "delta_e_f_ev_per_atom": 0.4290,
  "density_g_cm3": 2.9,
  "relative_energy_ev_per_fu": 0.00
}

---

# 15
{
  "formula": "PuUFeCo",
  "functional": "GGA-PBE",
  "state": "optimized geometry",
  "lattice_angstrom": [[4.409, 0.000, 0.000], [2.205, 3.818, 0.000], [2.205, 1.273, 3.600]],
  "species": ["Co", "U", "Fe", "Pu"],
  "fractional_positions": [[0.250, 0.250, 0.250], [0.750, 0.750, 0.750], [0.500, 0.500, 0.500], [0.000, 0.000, 0.000]],
  "m_tot_mub_per_fu": 3.059,
  "delta_e_f_ev_per_atom": -0.1588,
  "density_g_cm3": 16.3
}

---

# 16
{
  "formula": "Hf2PaGa",
  "functional": "GGA-PBE",
  "state": "optimized geometry",
  "lattice_angstrom": [[3.182, 0.000, 0.000], [1.591, 2.755, 0.000], [1.591, 0.918, 9.881]],
  "species": ["Hf", "Hf", "Pa", "Ga"],
  "fractional_positions": [[0.077, 0.077, 0.769], [0.256, 0.256, 0.231], [0.500, 0.500, 0.500], [0.667, 0.667, 0.000]],
  "m_tot_mub_per_fu": 0.000,
  "delta_e_f_ev_per_atom": -0.1198,
  "density_g_cm3": 12.6,
  "relative_energy_ev_per_fu": 0.11
}

---

# 17
{
  "formula": "Pm3NdSn2",
  "functional": "GGA-PBE",
  "state": "optimized geometry",
  "lattice_angstrom": [[-1.213, -5.040, -7.042], [1.945, -8.503, -0.613], [-5.764, -6.539, -0.691]],
  "species": ["Pm", "Pm", "Pm", "Pm", "Pm", "Pm", "Nd", "Nd", "Sn", "Sn", "Sn", "Sn"],
  "fractional_positions": [[0.477, 0.023, 0.750], [0.023, 0.750, 0.477], [0.750, 0.477, 0.023], [0.523, 0.977, 0.250], [0.977, 0.250, 0.523], [0.250, 0.523, 0.977], [0.500, 0.500, 0.500], [0.000, 0.000, 0.000], [0.355, 0.355, 0.355], [0.145, 0.145, 0.145], [0.855, 0.855, 0.855], [0.645, 0.645, 0.645]],
  "m_tot_mub_per_fu": 0.000,
  "delta_e_f_ev_per_atom": -0.2537,
  "density_g_cm3": 6.6,
  "relative_energy_ev_per_fu": 1.93
}

---

# 18
{
  "formula": "NdHoHgGe",
  "functional": "GGA-PBE",
  "state": "optimized geometry",
  "lattice_angstrom": [[-3.116, 0.994, -4.073], [-5.188, -0.219, 0.566], [-2.827, 4.390, -0.115]],
  "species": ["Ge", "Nd", "Hg", "Ho"],
  "fractional_positions": [[0.750, 0.750, 0.750], [0.500, 0.500, 0.500], [0.250, 0.250, 0.250], [0.000, 0.000, 0.000]],
  "m_tot_mub_per_fu": 0.000,
  "delta_e_f_ev_per_atom": -0.5491,
  "density_g_cm3": 9.6
}

---

# 19
{
  "formula": "Te2RuCl",
  "functional": "GGA-PBE",
  "state": "optimized geometry",
  "lattice_angstrom": [[4.984, 0.000, 0.000], [2.492, 4.317, 0.000], [2.492, 1.439, 4.070]],
  "species": ["Cl", "Ru", "Te", "Te"],
  "fractional_positions": [[0.500, 0.500, 0.500], [0.250, 0.250, 0.250], [0.000, 0.000, 0.000], [0.750, 0.750, 0.750]],
  "m_tot_mub_per_fu": 1.764,
  "density_g_cm3": 7.4,
  "formation_energy_uncorrected_mev_per_atom": 665,
  "relative_energy_ev_per_fu": 3.48
}

---

# 20
{
  "formula": "TlZnIr4",
  "functional": "GGA-PBE",
  "state": "optimized geometry",
  "lattice_angstrom": [[3.199, -3.104, -2.804], [2.626, -3.901, 2.370], [-1.334, -5.011, -0.919]],
  "species": ["Tl", "Zn", "Ir", "Ir", "Ir", "Ir"],
  "fractional_positions": [[0.750, 0.750, 0.750], [0.000, 0.000, 0.000], [0.876, 0.375, 0.375], [0.375, 0.375, 0.876], [0.375, 0.876, 0.375], [0.375, 0.375, 0.375]],
  "m_tot_mub_per_fu": 0.000,
  "delta_e_f_ev_per_atom": 0.4851,
  "density_g_cm3": 16.7
}